A relaxed structure of NaSrGa2I. Source: Alexandria via LeMat-Bulk, functional PBE.

Geometry as POSCAR:
```
NaSrGa2I
1.0
6.0640 0.0000 0.0000
0.0000 6.0640 0.0000
0.0000 0.0000 5.4916
Na Sr Ga I
1 1 2 1
direct
0.0000 0.0000 0.0000
0.5000 0.5000 0.0000
0.0000 0.5000 0.5000
0.5000 0.0000 0.5000
0.0000 0.0000 0.5000
```

Its density of states at the Fermi level is 0.7876 states/eV/atom. As for the space-group type: No. 123. For the raw formation energy, the calculation gives 2.30 kcal/mol of atoms.